# 1
Here is a PBEsol-optimized structure of TcRu2 from the Alexandria database. Energies are from SCAN.

Unit cell a=4.023 b=4.023 c=2.982 alpha=90.00 beta=90.00 gamma=90.00
Space group P4/mmm (No. 123)
Symmetry-distinct sites (fractional):
Tc1 0.000 0.000 0.000 (multiplicity 1)
Ru1 0.000 0.500 0.500 (multiplicity 2)

## Properties
Energy of formation   0.978 eV/atom
Polymorph energy (0 for the lowest one)   1047 meV/atom
Total magnetization   0.0 μB/f.u.

# 2
Here is a PBEsol-optimized structure of TcRu2 from the Alexandria database. Energies are from SCAN.

Unit cell a=2.6722 b=2.6722 c=6.5660 alpha=90.00 beta=90.00 gamma=120.00
Space group P-3m1 (No. 164)
Symmetry-distinct sites (fractional):
Tc1 0.0000 0.0000 0.0000 (multiplicity 1)
Ru1 0.3333 0.6667 0.6684 (multiplicity 2)

## Properties
Energy of formation   0.087 eV/atom
Polymorph energy (0 for the lowest one)   155 meV/atom
Total magnetization   0.0 μB/f.u.

# 3
Here is a PBEsol-optimized structure of TcRu2 from the Alexandria database. Energies are from SCAN.

Unit cell a=2.698 b=14.039 c=4.266 alpha=90.00 beta=90.00 gamma=90.00
Space group Cmcm (No. 63)
Symmetry-distinct sites (fractional):
Tc1 0.000 0.112 0.250 (multiplicity 4)
Ru1 0.000 0.222 0.750 (multiplicity 4)
Ru2 0.000 0.444 0.250 (multiplicity 4)

## Properties
Energy of formation   -0.068 eV/atom
Polymorph energy (0 for the lowest one)   0 meV/atom
Total magnetization   0.0 μB/f.u.

# 4
Here is a PBEsol-optimized structure of TcRu3 from the Alexandria database. Energies are from SCAN.

Unit cell a=5.373 b=12.947 c=4.646 alpha=90.00 beta=90.00 gamma=90.00
Space group Pmmn (No. 59, origin choice 2)
Symmetry-distinct sites (fractional):
Tc1 0.250 0.088 0.169 (multiplicity 4)
Tc2 0.250 0.750 0.500 (multiplicity 2)
Ru1 0.000 0.250 0.001 (multiplicity 4)
Ru2 0.001 0.587 0.335 (multiplicity 8)
Ru3 0.250 0.250 0.501 (multiplicity 2)
Ru4 0.250 0.586 0.833 (multiplicity 4)

## Properties
Energy of formation   0.016 eV/atom
Total magnetization   0.0 μB/f.u.

# 5
Here is a PBEsol-optimized structure of Tc7Ru from the Alexandria database. Energies are from SCAN.

Unit cell a=7.637 b=7.637 c=7.637 alpha=90.00 beta=90.00 gamma=90.00
Space group Fm-3m (No. 225)
Symmetry-distinct sites (fractional):
Tc1 0.000 0.000 0.000 (multiplicity 4)
Tc2 0.000 0.250 0.250 (multiplicity 24)
Ru1 0.000 0.000 0.500 (multiplicity 4)

## Properties
Energy of formation   0.054 eV/atom
Total magnetization   0.0 μB/f.u.

# 6
Here is a PBEsol-optimized structure of TcRu2 from the Alexandria database. Energies are from SCAN.

Unit cell a=9.722 b=2.701 c=6.332 alpha=90.00 beta=103.61 gamma=90.00
Space group C2/m (No. 12)
Symmetry-distinct sites (fractional):
Tc1 0.194 0.000 0.139 (multiplicity 4)
Ru1 0.028 0.500 0.805 (multiplicity 4)
Ru2 0.139 0.000 0.528 (multiplicity 4)

## Properties
Energy of formation   -0.058 eV/atom
Polymorph energy (0 for the lowest one)   11 meV/atom
Total magnetization   0.0 μB/f.u.

# 7
Here is a PBEsol-optimized structure of Tc4Ru from the Alexandria database. Energies are from SCAN.

Unit cell a=6.029 b=6.029 c=3.819 alpha=90.00 beta=90.00 gamma=90.00
Space group I4/m (No. 87)
Symmetry-distinct sites (fractional):
Tc1 0.104 0.702 0.000 (multiplicity 8)
Ru1 0.000 0.000 0.500 (multiplicity 2)

## Properties
Energy of formation   0.056 eV/atom
Total magnetization   0.0 μB/f.u.

# 8
Here is a PBEsol-optimized structure of TcRu5 from the Alexandria database. Energies are from SCAN.

Unit cell a=4.258 b=2.698 c=14.011 alpha=90.00 beta=90.00 gamma=90.00
Space group Amm2 (No. 38)
Symmetry-distinct sites (fractional):
Tc1 0.000 0.000 0.000 (multiplicity 2)
Ru1 0.000 0.000 0.332 (multiplicity 2)
Ru2 0.000 0.000 0.666 (multiplicity 2)
Ru3 0.500 0.000 0.110 (multiplicity 2)
Ru4 0.500 0.000 0.444 (multiplicity 2)
Ru5 0.500 0.000 0.777 (multiplicity 2)

## Properties
Energy of formation   -0.039 eV/atom
Total magnetization   0.0 μB/f.u.

# 9
Here is a PBEsol-optimized structure of TcTe2Ru from the Alexandria database. Energies are from SCAN.

Unit cell a=3.271 b=5.412 c=8.410 alpha=90.00 beta=90.00 gamma=90.00
Space group Cmmm (No. 65)
Symmetry-distinct sites (fractional):
Tc1 0.000 0.000 0.000 (multiplicity 2)
Te1 0.000 0.500 0.251 (multiplicity 4)
Ru1 0.000 0.000 0.500 (multiplicity 2)

## Properties
Raw formation energy   0.862 eV/atom
Polymorph energy (0 for the lowest one)   505 meV/atom
Total magnetization   0.0 μB/f.u.

# 10
Here is a PBEsol-optimized structure of Tc2TeRu from the Alexandria database. Energies are from SCAN.

Unit cell a=2.9255 b=2.9255 c=25.2060 alpha=90.00 beta=90.00 gamma=120.00
Space group R-3m (No. 166, hexagonal axes)
Symmetry-distinct sites (fractional):
Tc1 0.0000 0.0000 0.2482 (multiplicity 6)
Te1 0.0000 0.0000 0.0000 (multiplicity 3)
Ru1 0.0000 0.0000 0.5000 (multiplicity 3)

## Properties
Raw formation energy   0.517 eV/atom
Total magnetization   0.0 μB/f.u.

# 11
Here is a PBEsol-optimized structure of TcTe2Ru from the Alexandria database. Energies are from SCAN.

Unit cell a=3.280 b=3.280 c=6.480 alpha=90.00 beta=90.00 gamma=90.00
Space group P4/mmm (No. 123)
Symmetry-distinct sites (fractional):
Tc1 0.000 0.000 0.000 (multiplicity 1)
Te1 0.500 0.500 0.250 (multiplicity 2)
Ru1 0.000 0.000 0.500 (multiplicity 1)

## Properties
Raw formation energy   0.357 eV/atom
Polymorph energy (0 for the lowest one)   0 meV/atom
Total magnetization   0.7 μB/f.u.

# 12
Here is a PBEsol-optimized structure of TcTeRu from the Alexandria database. Energies are from SCAN.

Unit cell a=3.023 b=3.969 c=8.002 alpha=90.00 beta=90.00 gamma=90.00
Space group Imm2 (No. 44)
Symmetry-distinct sites (fractional):
Tc1 0.000 0.000 0.000 (multiplicity 2)
Te1 0.000 0.000 0.675 (multiplicity 2)
Ru1 0.000 0.000 0.351 (multiplicity 2)

## Properties
Raw formation energy   0.481 eV/atom
Total magnetization   0.0 μB/f.u.

| no. | calculated total energy (eV per atom) |
| --- | --- |
| 1 | -33.9257 |
| 2 | -34.8173 |
| 3 | -34.9723 |
| 4 | -34.8688 |
| 5 | -34.9769 |
| 6 | -34.9617 |
| 7 | -34.9568 |
| 8 | -34.9039 |
| 9 | -35.2350 |
| 10 | -35.0324 |
| 11 | -35.7400 |
| 12 | -35.2319 |